1.
## K2MnNbAs (PBE)

Data for a relaxed structure of K2MnNbAs.

abc: 6.031 6.031 4.683
angles: 90.00 90.00 90.00
Fractional coordinates of all 5 atoms:
K  0.000  0.500  0.000
K  0.500  0.000  0.000
Mn  0.000  0.000  0.000
Nb  0.000  0.000  0.500
As  0.500  0.500  0.500

Calculated values
ΔE_f: 1.18 eV/atom
M_tot: 1.199 μB per formula unit
DOS(E_F): 3.93 states/eV/f.u.
distance to the lowest polymorph of the same formula: 0.0 meV per atom
final energy: -20.176 eV per formula unit

2.
## GaTcAu2 (PBE)

Data for a relaxed structure of GaTcAu2.

abc: 10.359 10.359 10.359
angles: 158.88 158.88 30.04
Fractional coordinates of all 8 atoms:
Ga  0.000  0.000  0.000
Ga  0.750  0.250  0.500
Tc  0.250  0.750  0.500
Tc  0.500  0.500  0.000
Au  0.125  0.625  0.000
Au  0.375  0.375  0.500
Au  0.625  0.125  0.000
Au  0.875  0.875  0.500

Calculated values
ΔE_f: 0.37 eV/atom
M_tot: 1.332 μB per formula unit
DOS(E_F): 3.10 states/eV/f.u.
final energy: -18.482 eV per formula unit

Question: Among the records above, which one has the lowest DOS(E_F)?
Answer: GaTcAu2

Question: Among the records above, which one has the highest DOS(E_F)?
Answer: K2MnNbAs